Entry 1:
Here is an optimized crystal structure of Dy6Y12Cd from the Alexandria database. Energies are from PBE-GGA.

Cell: 8.484 8.484 8.484 Å, 88.70 88.70 88.70°
Fractional coordinates of all 19 atoms:
Dy 0.213 0.597 0.761
Dy 0.239 0.787 0.403
Dy 0.403 0.239 0.787
Dy 0.597 0.761 0.213
Dy 0.761 0.213 0.597
Dy 0.787 0.403 0.239
Y 0.038 0.283 0.935
Y 0.065 0.962 0.717
Y 0.135 0.324 0.484
Y 0.283 0.935 0.038
Y 0.324 0.484 0.135
Y 0.484 0.135 0.324
Y 0.516 0.865 0.676
Y 0.676 0.516 0.865
Y 0.717 0.065 0.962
Y 0.865 0.676 0.516
Y 0.935 0.038 0.283
Y 0.962 0.717 0.065
Cd 0.500 0.500 0.500

Properties
DOS(E_F) in states/eV/cell: 31.06
Mass density in g cm⁻³: 5.9
VASP energy in eV per atom: -5.486



Entry 2:
Here is an optimized crystal structure of Dy2YCd from the Alexandria database. Energies are from PBE-GGA.

Cell: 6.598 6.598 10.245 Å, 90.00 90.00 148.27°
Fractional coordinates of all 8 atoms:
Dy 0.131 0.869 0.535
Dy 0.131 0.869 0.965
Dy 0.869 0.131 0.035
Dy 0.869 0.131 0.465
Y 0.462 0.538 0.750
Y 0.538 0.462 0.250
Cd 0.255 0.745 0.250
Cd 0.745 0.255 0.750

Properties
DOS(E_F) in states/eV/cell: 8.33
Mass density in g cm⁻³: 7.5
Energy above the most stable polymorph in this dataset in eV/atom: 0.026
VASP energy in eV per atom: -4.277



Entry 3:
Here is an optimized crystal structure of Dy2YCd3 from the Alexandria database. Energies are from PBE-GGA.

Cell: 5.292 5.292 6.500 Å, 90.00 90.00 120.00°
Fractional coordinates of all 6 atoms:
Dy 0.333 0.667 0.166
Dy 0.667 0.333 0.834
Y 0.000 0.000 0.500
Cd 0.000 0.000 0.000
Cd 0.333 0.667 0.667
Cd 0.667 0.333 0.333

Properties
DOS(E_F) in states/eV/cell: 6.22
Mass density in g cm⁻³: 7.9
VASP energy in eV per atom: -3.401



Entry 4:
Here is an optimized crystal structure of Dy2YCd from the Alexandria database. Energies are from PBE-GGA.

Cell: 10.915 10.915 10.915 Å, 19.06 19.06 19.06°
Fractional coordinates of all 4 atoms:
Dy 0.000 0.000 0.000
Dy 0.178 0.178 0.178
Y 0.756 0.756 0.756
Cd 0.589 0.589 0.589

Properties
DOS(E_F) in states/eV/cell: 6.09
Mass density in g cm⁻³: 7.2
Energy above the most stable polymorph in this dataset in eV/atom: 0.093
VASP energy in eV per atom: -4.210



Entry 5:
Here is an optimized crystal structure of Dy3Y3Cd from the Alexandria database. Energies are from PBE-GGA.

Cell: 9.401 5.525 9.406 Å, 90.00 119.94 90.00°
Fractional coordinates of all 14 atoms:
Dy 0.063 0.250 0.321
Dy 0.179 0.250 0.742
Dy 0.242 0.750 0.563
Dy 0.758 0.250 0.437
Dy 0.821 0.750 0.258
Dy 0.937 0.750 0.679
Y 0.107 0.750 0.128
Y 0.371 0.750 0.978
Y 0.479 0.250 0.607
Y 0.521 0.750 0.393
Y 0.629 0.250 0.022
Y 0.893 0.250 0.872
Cd 0.333 0.250 0.166
Cd 0.667 0.750 0.834

Properties
DOS(E_F) in states/eV/cell: 21.07
Mass density in g cm⁻³: 6.8
VASP energy in eV per atom: -4.913



Entry 6:
Here is an optimized crystal structure of Dy3Y3Cd2 from the Alexandria database. Energies are from PBE-GGA.

Cell: 6.402 6.402 15.736 Å, 90.00 90.00 131.84°
Fractional coordinates of all 16 atoms:
Dy 0.053 0.947 0.750
Dy 0.145 0.855 0.031
Dy 0.145 0.855 0.469
Dy 0.855 0.145 0.531
Dy 0.855 0.145 0.969
Dy 0.947 0.053 0.250
Y 0.230 0.770 0.250
Y 0.457 0.543 0.106
Y 0.457 0.543 0.394
Y 0.543 0.457 0.606
Y 0.543 0.457 0.894
Y 0.770 0.230 0.750
Cd 0.275 0.725 0.637
Cd 0.275 0.725 0.863
Cd 0.725 0.275 0.137
Cd 0.725 0.275 0.363

Properties
DOS(E_F) in states/eV/cell: 24.84
Mass density in g cm⁻³: 6.8
VASP energy in eV per atom: -4.438



Entry 7:
Here is an optimized crystal structure of DyY6Cd2 from the Alexandria database. Energies are from PBE-GGA.

Cell: 6.615 6.615 11.938 Å, 107.81 107.81 32.85°
Fractional coordinates of all 9 atoms:
Dy 0.000 0.000 0.000
Y 0.017 0.017 0.338
Y 0.312 0.312 0.415
Y 0.315 0.315 0.123
Y 0.685 0.685 0.877
Y 0.688 0.688 0.585
Y 0.983 0.983 0.662
Cd 0.354 0.354 0.794
Cd 0.646 0.646 0.206

Properties
DOS(E_F) in states/eV/cell: 10.57
Mass density in g cm⁻³: 5.7
VASP energy in eV per atom: -5.163



Entry 8:
Here is an optimized crystal structure of Dy5YCd3 from the Alexandria database. Energies are from PBE-GGA.

Cell: 9.173 9.173 6.943 Å, 90.00 90.00 120.00°
Fractional coordinates of all 18 atoms:
Dy 0.000 0.335 0.250
Dy 0.000 0.665 0.750
Dy 0.333 0.667 0.000
Dy 0.333 0.667 0.500
Dy 0.335 0.000 0.250
Dy 0.335 0.335 0.750
Dy 0.665 0.000 0.750
Dy 0.665 0.665 0.250
Dy 0.667 0.333 0.000
Dy 0.667 0.333 0.500
Y 0.000 0.000 0.000
Y 0.000 0.000 0.500
Cd 0.000 0.332 0.750
Cd 0.000 0.668 0.250
Cd 0.332 0.000 0.750
Cd 0.332 0.332 0.250
Cd 0.668 0.000 0.250
Cd 0.668 0.668 0.750

Properties
DOS(E_F) in states/eV/cell: 9.90
Mass density in g cm⁻³: 8.1
VASP energy in eV per atom: -3.773



Entry 9:
Here is an optimized crystal structure of DyYCd17 from the Alexandria database. Energies are from PBE-GGA.

Cell: 7.659 7.659 7.659 Å, 81.97 81.97 81.97°
Fractional coordinates of all 19 atoms:
Dy 0.000 0.000 0.000
Y 0.653 0.653 0.653
Cd 0.021 0.330 0.634
Cd 0.021 0.634 0.330
Cd 0.208 0.670 0.670
Cd 0.237 0.237 0.237
Cd 0.305 0.305 0.857
Cd 0.305 0.857 0.305
Cd 0.330 0.021 0.634
Cd 0.330 0.634 0.021
Cd 0.430 0.430 0.430
Cd 0.549 0.950 0.950
Cd 0.634 0.021 0.330
Cd 0.634 0.330 0.021
Cd 0.670 0.208 0.670
Cd 0.670 0.670 0.208
Cd 0.857 0.305 0.305
Cd 0.950 0.549 0.950
Cd 0.950 0.950 0.549

Properties
DOS(E_F) in states/eV/cell: 5.63
Mass density in g cm⁻³: 8.2
VASP energy in eV per atom: -1.507



Entry 10:
Here is an optimized crystal structure of Dy2Y8Cd from the Alexandria database. Energies are from PBE-GGA.

Cell: 9.838 9.838 5.710 Å, 91.72 91.72 40.62°
Fractional coordinates of all 11 atoms:
Dy 0.219 0.219 0.259
Dy 0.781 0.781 0.741
Y 0.050 0.050 0.234
Y 0.112 0.636 0.255
Y 0.324 0.324 0.766
Y 0.364 0.888 0.745
Y 0.636 0.112 0.255
Y 0.676 0.676 0.234
Y 0.888 0.364 0.745
Y 0.950 0.950 0.766
Cd 0.500 0.500 0.000

Properties
DOS(E_F) in states/eV/cell: 17.80
Mass density in g cm⁻³: 5.3
Energy above the most stable polymorph in this dataset in eV/atom: 0.122
VASP energy in eV per atom: -5.522



Entry 11:
Here is an optimized crystal structure of Dy2YCd from the Alexandria database. Energies are from PBE-GGA.

Cell: 5.449 5.449 5.449 Å, 60.00 60.00 60.00°
Fractional coordinates of all 4 atoms:
Dy 0.250 0.250 0.250
Dy 0.750 0.750 0.750
Y 0.000 0.000 0.000
Cd 0.500 0.500 0.500

Properties
DOS(E_F) in states/eV/cell: 5.33
Mass density in g cm⁻³: 7.6
Energy above the most stable polymorph in this dataset in eV/atom: 0.157
VASP energy in eV per atom: -4.146



Entry 12:
Here is an optimized crystal structure of DyY3Cd from the Alexandria database. Energies are from PBE-GGA.

Cell: 10.387 10.387 8.158 Å, 90.00 90.00 158.87°
Fractional coordinates of all 10 atoms:
Dy 0.021 0.979 0.750
Dy 0.979 0.021 0.250
Y 0.193 0.807 0.750
Y 0.402 0.598 0.537
Y 0.402 0.598 0.963
Y 0.598 0.402 0.037
Y 0.598 0.402 0.463
Y 0.807 0.193 0.250
Cd 0.187 0.813 0.250
Cd 0.813 0.187 0.750

Properties
DOS(E_F) in states/eV/cell: 16.55
Mass density in g cm⁻³: 5.7
Energy above the most stable polymorph in this dataset in eV/atom: 0.181
VASP energy in eV per atom: -4.939



Entry 13:
Here is an optimized crystal structure of Dy4Y9Cd11 from the Alexandria database. Energies are from PBE-GGA.

Cell: 13.860 13.860 3.551 Å, 90.00 90.00 109.46°
Fractional coordinates of all 24 atoms:
Dy 0.078 0.249 0.000
Dy 0.249 0.078 0.000
Dy 0.751 0.922 0.000
Dy 0.922 0.751 0.000
Y 0.000 0.000 0.000
Y 0.120 0.652 0.000
Y 0.294 0.477 0.000
Y 0.348 0.880 0.000
Y 0.477 0.294 0.000
Y 0.523 0.706 0.000
Y 0.652 0.120 0.000
Y 0.706 0.523 0.000
Y 0.880 0.348 0.000
Cd 0.087 0.448 0.500
Cd 0.131 0.869 0.500
Cd 0.281 0.281 0.500
Cd 0.322 0.678 0.500
Cd 0.448 0.087 0.500
Cd 0.500 0.500 0.500
Cd 0.552 0.913 0.500
Cd 0.678 0.322 0.500
Cd 0.719 0.719 0.500
Cd 0.869 0.131 0.500
Cd 0.913 0.552 0.500

Properties
DOS(E_F) in states/eV/cell: 26.28
Mass density in g cm⁻³: 6.9
VASP energy in eV per atom: -3.864



Entry 14:
Here is an optimized crystal structure of Dy2YCd from the Alexandria database. Energies are from PBE-GGA.

Cell: 11.003 11.003 11.003 Å, 18.69 18.69 18.69°
Fractional coordinates of all 4 atoms:
Dy 0.244 0.244 0.244
Dy 0.756 0.756 0.756
Y 0.000 0.000 0.000
Cd 0.500 0.500 0.500

Properties
DOS(E_F) in states/eV/cell: 4.36
Mass density in g cm⁻³: 7.3
Energy above the most stable polymorph in this dataset in eV/atom: 0.088
VASP energy in eV per atom: -4.215



Entry 15:
Here is an optimized crystal structure of Dy2YCd from the Alexandria database. Energies are from PBE-GGA.

Cell: 4.842 4.842 4.870 Å, 90.00 90.00 90.00°
Fractional coordinates of all 4 atoms:
Dy 0.000 0.500 0.000
Dy 0.500 0.000 0.000
Y 0.000 0.000 0.500
Cd 0.500 0.500 0.500

Properties
DOS(E_F) in states/eV/cell: 5.55
Mass density in g cm⁻³: 7.7
Energy above the most stable polymorph in this dataset in eV/atom: 0.066
VASP energy in eV per atom: -4.237



Entry 16:
Here is an optimized crystal structure of Dy5Y2Cd from the Alexandria database. Energies are from PBE-GGA.

Cell: 6.989 6.989 6.989 Å, 120.01 120.01 89.99°
Fractional coordinates of all 8 atoms:
Dy 0.000 0.000 0.000
Dy 0.000 0.000 0.500
Dy 0.000 0.500 0.000
Dy 0.500 0.000 0.000
Dy 0.500 0.500 0.500
Y 0.000 0.500 0.500
Y 0.500 0.000 0.500
Cd 0.500 0.500 0.000

Properties
DOS(E_F) in states/eV/cell: 8.76
Mass density in g cm⁻³: 7.6
VASP energy in eV per atom: -4.624



Entry 17:
Here is an optimized crystal structure of Dy3Y2Cd4 from the Alexandria database. Energies are from PBE-GGA.

Cell: 9.952 9.952 8.077 Å, 90.00 90.00 140.74°
Fractional coordinates of all 18 atoms:
Dy 0.000 0.000 0.000
Dy 0.005 0.495 0.250
Dy 0.495 0.005 0.750
Dy 0.500 0.500 0.500
Dy 0.505 0.995 0.250
Dy 0.995 0.505 0.750
Y 0.092 0.908 0.400
Y 0.408 0.592 0.900
Y 0.592 0.408 0.100
Y 0.908 0.092 0.600
Cd 0.160 0.840 0.021
Cd 0.174 0.326 0.250
Cd 0.326 0.174 0.750
Cd 0.340 0.660 0.521
Cd 0.660 0.340 0.479
Cd 0.674 0.826 0.250
Cd 0.826 0.674 0.750
Cd 0.840 0.160 0.979

Properties
DOS(E_F) in states/eV/cell: 16.41
Mass density in g cm⁻³: 7.3
VASP energy in eV per atom: -3.535



Entry 18:
Here is an optimized crystal structure of DyY8Cd2 from the Alexandria database. Energies are from PBE-GGA.

Cell: 8.719 8.719 5.600 Å, 100.91 100.91 118.81°
Fractional coordinates of all 11 atoms:
Dy 0.000 0.000 0.000
Y 0.092 0.320 0.611
Y 0.222 0.778 0.000
Y 0.320 0.092 0.611
Y 0.398 0.398 0.201
Y 0.602 0.602 0.799
Y 0.680 0.908 0.389
Y 0.778 0.222 0.000
Y 0.908 0.680 0.389
Cd 0.307 0.693 0.500
Cd 0.693 0.307 0.500

Properties
DOS(E_F) in states/eV/cell: 15.87
Mass density in g cm⁻³: 5.3
VASP energy in eV per atom: -5.265



Entry 19:
Here is an optimized crystal structure of DyYCd2 from the Alexandria database. Energies are from PBE-GGA.

Cell: 5.298 5.298 5.298 Å, 60.00 60.00 60.00°
Fractional coordinates of all 4 atoms:
Dy 0.000 0.000 0.000
Y 0.500 0.500 0.500
Cd 0.250 0.250 0.250
Cd 0.750 0.750 0.750

Properties
DOS(E_F) in states/eV/cell: 3.64
Mass density in g cm⁻³: 7.5
Energy above the most stable polymorph in this dataset in eV/atom: 0.000
VASP energy in eV per atom: -3.565



Entry 20:
Here is an optimized crystal structure of DyY2Cd5 from the Alexandria database. Energies are from PBE-GGA.

Cell: 8.329 8.329 8.329 Å, 144.07 144.07 51.72°
Fractional coordinates of all 8 atoms:
Dy 0.000 0.000 0.000
Y 0.261 0.261 0.000
Y 0.739 0.739 0.000
Cd 0.119 0.619 0.500
Cd 0.381 0.881 0.500
Cd 0.500 0.500 0.000
Cd 0.619 0.119 0.500
Cd 0.881 0.381 0.500

Properties
DOS(E_F) in states/eV/cell: 3.45
Mass density in g cm⁻³: 7.6
VASP energy in eV per atom: -3.081



Entry 21:
Here is an optimized crystal structure of Dy3YCd2 from the Alexandria database. Energies are from PBE-GGA.

Cell: 3.661 3.661 12.690 Å, 90.00 90.00 90.00°
Fractional coordinates of all 6 atoms:
Dy 0.000 0.000 0.000
Dy 0.000 0.000 0.306
Dy 0.000 0.000 0.694
Y 0.500 0.500 0.500
Cd 0.500 0.500 0.152
Cd 0.500 0.500 0.848

Properties
DOS(E_F) in states/eV/cell: 7.71
Mass density in g cm⁻³: 7.8
Energy above the most stable polymorph in this dataset in eV/atom: 0.025
VASP energy in eV per atom: -3.879